No. 1
! PBE Ta5Nb2Ga5, optimized geometry; values from VASP
&SYSTEM
  ibrav = 0, nat = 12, ntyp = 3
/
ATOMIC_SPECIES
Ta 180.95 Ta.upf
Ga 69.72 Ga.upf
Nb 92.91 Nb.upf
ATOMIC_POSITIONS angstrom
Ta 1.796 -1.750 4.507
Ta 1.796 -1.408 8.956
Ta 1.796 0.352 2.220
Ta 0.000 4.323 -0.118
Ta 0.000 2.563 6.618
Ga 1.796 0.456 6.724
Ga 1.796 2.485 4.414
Ga 0.000 0.000 0.000
Ga 0.000 2.459 2.114
Ga 0.000 0.430 4.424
Nb 0.000 -1.600 6.702
Nb 1.796 4.515 2.137
CELL_PARAMETERS angstrom
3.591 0.000 0.000
-1.796 6.415 -0.177
0.000 -3.500 9.015
! Total moment = 0.00 μB per formula unit
! Electronic total energy = -8.01 eV/atom
! Density of states at the Fermi level = 7.6 states/eV per cell
! ΔE_f = -0.13 eV per atom
! SG = C2/m, No. 12
! Crystal system = monoclinic



No. 2
! PBE Ta2NbGa, optimized geometry; values from VASP
&SYSTEM
  ibrav = 0, nat = 8, ntyp = 3
/
ATOMIC_SPECIES
Ta 180.95 Ta.upf
Ga 69.72 Ga.upf
Nb 92.91 Nb.upf
ATOMIC_POSITIONS angstrom
Ta 3.523 -1.413 4.492
Ta 3.523 0.078 1.902
Ta 1.174 4.008 0.583
Ta 1.174 2.517 3.174
Ga 3.523 2.847 1.640
Ga 1.174 -0.253 3.435
Nb 1.174 1.111 0.640
Nb 3.523 1.484 4.436
CELL_PARAMETERS angstrom
4.697 0.000 0.000
0.000 5.692 -0.304
0.000 -3.097 5.379
! Total moment = 0.00 μB per formula unit
! Electronic total energy = -9.37 eV/atom
! Density of states at the Fermi level = 4.5 states/eV per cell
! ΔE_f = -0.17 eV per atom
! SG = Cmcm, No. 63
! Crystal system = orthorhombic



No. 3
! PBE Ta2Nb2Ga5, optimized geometry; values from VASP
&SYSTEM
  ibrav = 0, nat = 9, ntyp = 3
/
ATOMIC_SPECIES
Ga 69.72 Ga.upf
Ta 180.95 Ta.upf
Nb 92.91 Nb.upf
ATOMIC_POSITIONS angstrom
Ga 0.000 0.000 0.000
Ga 0.000 0.748 2.578
Ga 2.464 -2.088 5.758
Ga 2.464 1.869 1.733
Ga 0.000 4.705 -1.447
Ta 2.464 3.812 -0.369
Ta 0.000 -1.195 4.680
Nb 2.464 -0.166 3.622
Nb 0.000 2.784 0.689
CELL_PARAMETERS angstrom
4.927 0.000 0.000
-2.464 5.831 -2.412
0.000 -3.214 6.723
! Total moment = 0.00 μB per formula unit
! Electronic total energy = -6.69 eV/atom
! Density of states at the Fermi level = 5.5 states/eV per cell
! ΔE_f = -0.14 eV per atom
! SG = C2/m, No. 12
! Crystal system = monoclinic



No. 4
! PBE Ta2NbGa, optimized geometry; values from VASP
&SYSTEM
  ibrav = 0, nat = 8, ntyp = 3
/
ATOMIC_SPECIES
Nb 92.91 Nb.upf
Ta 180.95 Ta.upf
Ga 69.72 Ga.upf
ATOMIC_POSITIONS angstrom
Nb 0.000 0.000 0.000
Nb -5.707 -5.075 3.699
Ta -6.602 -10.804 4.025
Ta -4.367 -2.817 2.592
Ta -3.570 -6.851 3.073
Ta -1.027 -5.916 0.365
Ga -2.076 -8.120 1.329
Ga -3.005 -4.273 0.887
CELL_PARAMETERS angstrom
-6.636 -1.228 3.257
0.626 -7.318 -1.483
-1.774 -4.648 3.254
! Total moment = 0.00 μB per formula unit
! Electronic total energy = -8.66 eV/atom
! Density of states at the Fermi level = 7.3 states/eV per cell
! ΔE_f = 0.54 eV per atom
! SG = I-42d, No. 122
! Crystal system = tetragonal



No. 5
! PBE TaNbGa2, optimized geometry; values from VASP
&SYSTEM
  ibrav = 0, nat = 4, ntyp = 3
/
ATOMIC_SPECIES
Ga 69.72 Ga.upf
Nb 92.91 Nb.upf
Ta 180.95 Ta.upf
ATOMIC_POSITIONS angstrom
Ga 0.000 0.000 2.016
Ga 0.000 2.016 0.000
Nb 2.052 2.016 2.016
Ta 2.052 0.000 0.000
CELL_PARAMETERS angstrom
4.105 0.000 0.000
0.000 4.031 0.000
0.000 0.000 4.031
! Total moment = 0.00 μB per formula unit
! Electronic total energy = -7.17 eV/atom
! Density of states at the Fermi level = 1.8 states/eV per cell
! ΔE to the lowest computed polymorph = 83 meV/atom
! ΔE_f = -0.17 eV per atom
! SG = P4/mmm, No. 123
! Crystal system = tetragonal



No. 6
! PBE TaNb2Ga, optimized geometry; values from VASP
&SYSTEM
  ibrav = 0, nat = 4, ntyp = 3
/
ATOMIC_SPECIES
Nb 92.91 Nb.upf
Ga 69.72 Ga.upf
Ta 180.95 Ta.upf
ATOMIC_POSITIONS angstrom
Nb 4.749 2.742 6.371
Nb 1.583 0.914 2.130
Ga 0.000 0.000 0.000
Ta 3.166 1.828 4.251
CELL_PARAMETERS angstrom
3.166 0.000 0.000
1.583 2.742 0.000
1.583 0.914 8.501
! Total moment = 0.00 μB per formula unit
! Electronic total energy = -8.65 eV/atom
! Density of states at the Fermi level = 4.2 states/eV per cell
! ΔE_f = 0.10 eV per atom
! SG = R-3m, No. 166
! Crystal system = trigonal



No. 7
! PBE Ta2Nb2Ga3, optimized geometry; values from VASP
&SYSTEM
  ibrav = 0, nat = 7, ntyp = 3
/
ATOMIC_SPECIES
Ga 69.72 Ga.upf
Ta 180.95 Ta.upf
Nb 92.91 Nb.upf
ATOMIC_POSITIONS angstrom
Ga 0.000 0.000 0.000
Ga -0.781 3.637 3.721
Ga 0.565 2.779 1.476
Ta -2.429 5.852 3.443
Ta 2.213 0.564 1.754
Nb 0.897 1.458 4.135
Nb -1.113 4.958 1.062
CELL_PARAMETERS angstrom
3.523 -0.380 -0.631
-2.752 7.244 0.800
-0.987 -0.447 5.028
! Total moment = 0.00 μB per formula unit
! Electronic total energy = -7.74 eV/atom
! Density of states at the Fermi level = 5.4 states/eV per cell
! ΔE_f = -0.18 eV per atom
! SG = C2/m, No. 12
! Crystal system = monoclinic



No. 8
! PBE Ta2NbGa, optimized geometry; values from VASP
&SYSTEM
  ibrav = 0, nat = 4, ntyp = 3
/
ATOMIC_SPECIES
Ta 180.95 Ta.upf
Ga 69.72 Ga.upf
Nb 92.91 Nb.upf
ATOMIC_POSITIONS angstrom
Ta 2.129 1.229 7.495
Ta 1.336 0.771 2.433
Ga 4.999 2.886 10.033
Nb 3.365 1.943 5.069
CELL_PARAMETERS angstrom
2.949 0.002 0.186
1.476 2.553 0.186
2.077 1.199 9.788
! Total moment = 0.00 μB per formula unit
! Electronic total energy = -9.14 eV/atom
! Density of states at the Fermi level = 3.6 states/eV per cell
! ΔE_f = 0.06 eV per atom
! SG = Cm, No. 8
! Crystal system = monoclinic